[1]
This record from the Alexandria database describes an optimized crystal structure of VCo4Ni2. The functional is GGA-PBE.

Calculated values
**ΔE_f**: -0.4 eV/f.u.
**V**: 154.7 Å³/cell
**SG**: No. 1
**Total DFT energy (no corrections)**: -7.0789 eV per atom

Unit cell a=4.990 b=6.129 c=5.595 alpha=111.47 beta=77.32 gamma=89.68
Last column: magnetic moment on the atom in μB.
Atoms (fractional coordinates):
Co (0.555, 0.768, 0.891)  1.56
Ni (0.624, 0.338, 0.610)  0.36
Co (0.194, 0.911, 0.325)  1.25
Co (0.839, 0.049, 0.752)  1.53
Ni (0.125, 0.336, 0.606)  0.40
Co (0.341, 0.054, 0.749)  1.30
V (0.986, 0.205, 0.176)  -0.77
Ni (0.483, 0.193, 0.176)  0.26
Co (0.051, 0.766, 0.895)  1.30
Co (0.909, 0.630, 0.465)  1.05
V (0.407, 0.620, 0.462)  -0.78
Co (0.269, 0.488, 0.040)  1.21
Ni (0.697, 0.910, 0.321)  0.48
Co (0.769, 0.482, 0.032)  1.21


[2]
This record from the Alexandria database describes an optimized crystal structure of CsNdMn2Te4. The functional is GGA-PBE.

Calculated values
**V**: 338.7 Å³/cell
**SG**: No. 23
**Total DFT energy (no corrections)**: -4.8913 eV per atom
**Uncorrected formation energy**: -325 meV per atom

Unit cell a=7.397 b=7.716 c=7.716 alpha=74.19 beta=61.36 gamma=61.36
Last column: magnetic moment on the atom in μB.
Atoms (fractional coordinates):
Te (0.582, 0.506, 0.852)  -0.01
Cs (0.000, 0.000, 0.000)  0.00
Te (0.060, 0.852, 0.506)  -0.01
Mn (0.099, 0.401, 0.401)  1.79
Mn (0.901, 0.599, 0.599)  1.79
Te (0.940, 0.494, 0.148)  -0.01
Nd (0.500, 0.500, 0.500)  0.03
Te (0.418, 0.148, 0.494)  -0.01


[3]
This record from the Alexandria database describes an optimized crystal structure of ZnFe2P. The functional is GGA-PBE.

Calculated values
**ΔE_f**: 0.5 eV/f.u.
**V**: 53.7 Å³/cell
**SG**: No. 35
**Total DFT energy (no corrections)**: -5.7862 eV per atom

Unit cell a=2.597 b=2.597 c=8.188 alpha=90.00 beta=90.00 gamma=103.48
Last column: magnetic moment on the atom in μB.
Atoms (fractional coordinates):
Fe (0.500, 0.500, 0.249)  2.26
P (0.000, 0.000, 0.453)  0.00
Fe (0.000, 0.000, 0.017)  2.50
Zn (0.500, 0.500, 0.781)  -0.03


[4]
This record from the Alexandria database describes an optimized crystal structure of YZn2. The functional is GGA-PBE.

Calculated values
**ΔE_f**: -0.9 eV/f.u.
**V**: 124.5 Å³/cell
**SG**: No. 71
**Total DFT energy (no corrections)**: -3.3008 eV per atom

Unit cell a=6.452 b=6.452 c=6.452 alpha=144.66 beta=125.69 gamma=66.48
Atoms (fractional coordinates):
Y (0.178, 0.178, 0.000)
Zn (0.383, 0.883, 0.500)
Y (0.822, 0.822, 0.000)
Zn (0.745, 0.500, 0.245)
Zn (0.255, 0.500, 0.755)
Zn (0.617, 0.117, 0.500)


[5]
This record from the Alexandria database describes an optimized crystal structure of RePOs2. The functional is GGA-PBE.

Calculated values
**ΔE_f**: 2.4 eV/f.u.
**V**: 57.7 Å³/cell
**SG**: No. 35
**Total DFT energy (no corrections)**: -9.4768 eV per atom

Unit cell a=2.798 b=2.798 c=8.430 alpha=90.00 beta=90.00 gamma=119.10
Atoms (fractional coordinates):
P (0.000, 0.000, 0.502)
Os (0.500, 0.500, 0.724)
Re (0.500, 0.500, 0.272)
Os (0.000, 0.000, 0.001)


- Among the records above, which one has the lowest V?
  ZnFe2P